# CsScPt3 | Alexandria | PBE | optimized geometry
data_CsScPt3
_chemical_formula_sum 'Cs1 Sc1 Pt3'
_cell_length_a 5.102
_cell_length_b 5.102
_cell_length_c 5.102
_cell_angle_alpha 90.00
_cell_angle_beta 90.00
_cell_angle_gamma 90.00
_symmetry_space_group_name_H-M 'P m -3 m'
_symmetry_Int_Tables_number 221
_symmetry_space_group_name_Hall '-P 4 2 3'
loop_
_atom_site_label
_atom_site_type_symbol
_atom_site_fract_x
_atom_site_fract_y
_atom_site_fract_z
_atom_site_occupancy
Cs1 Cs 0.000 0.000 0.000 1
Sc1 Sc 0.500 0.500 0.500 1
Pt1 Pt 0.000 0.500 0.500 1
# Electronic total energy: -4.80 eV/atom
# Formation energy from the elements: 0.265 eV per atom
# Distance to the lowest polymorph of the same formula: 0.0 meV/atom
# Volume: 132.8 Å³ per cell

# CsScVPt2 | Alexandria | PBE | optimized geometry
data_CsScVPt2
_chemical_formula_sum 'Cs1 Sc1 V1 Pt2'
_cell_length_a 4.809
_cell_length_b 4.809
_cell_length_c 5.199
_cell_angle_alpha 90.00
_cell_angle_beta 90.00
_cell_angle_gamma 90.00
_symmetry_space_group_name_H-M 'P 4/m m m'
_symmetry_Int_Tables_number 123
_symmetry_space_group_name_Hall '-P 4 2'
loop_
_atom_site_label
_atom_site_type_symbol
_atom_site_fract_x
_atom_site_fract_y
_atom_site_fract_z
_atom_site_occupancy
Cs1 Cs 0.000 0.000 0.000 1
Sc1 Sc 0.500 0.500 0.000 1
V1 V 0.000 0.000 0.500 1
Pt1 Pt 0.000 0.500 0.500 1
# Electronic total energy: -4.85 eV/atom
# Formation energy from the elements: 0.823 eV per atom
# Volume: 120.2 Å³ per cell

# CsPtSe2 | Alexandria | PBE | optimized geometry
data_CsPtSe2
_chemical_formula_sum 'Cs4 Pt4 Se8'
_cell_length_a 7.990
_cell_length_b 7.990
_cell_length_c 7.946
_cell_angle_alpha 90.00
_cell_angle_beta 90.00
_cell_angle_gamma 90.00
_symmetry_space_group_name_H-M 'I -4 2 d'
_symmetry_Int_Tables_number 122
_symmetry_space_group_name_Hall 'I -4 2bw'
loop_
_atom_site_label
_atom_site_type_symbol
_atom_site_fract_x
_atom_site_fract_y
_atom_site_fract_z
_atom_site_occupancy
Cs1 Cs 0.000 0.000 0.000 1
Pt1 Pt 0.000 0.000 0.500 1
Se1 Se 0.128 0.750 0.625 1
# Electronic total energy: -4.00 eV/atom
# Formation energy without anion corrections: -0.53 eV/atom
# Distance to the lowest polymorph of the same formula: 132.6 meV/atom
# Volume: 507.3 Å³ per cell

# CsPt2Se | Alexandria | PBE | optimized geometry
data_CsPt2Se
_chemical_formula_sum 'Cs4 Pt8 Se4'
_cell_length_a 5.573
_cell_length_b 5.573
_cell_length_c 15.756
_cell_angle_alpha 90.00
_cell_angle_beta 90.00
_cell_angle_gamma 90.00
_symmetry_space_group_name_H-M 'I 41/a m d'
_symmetry_Int_Tables_number 141
loop_
_symmetry_equiv_pos_as_xyz
'x,y,z'
'-x,-y,-z'
'-y+1/4,x+3/4,z+1/4'
'y+1/4,-x+3/4,-z+1/4'
'-x+1/2,-y,z+1/2'
'x+1/2,y,-z+1/2'
'y+1/4,-x+1/4,z+3/4'
'-y+1/4,x+1/4,-z+3/4'
'x,-y,-z'
'-x,y,z'
'-y+1/4,-x+1/4,-z+3/4'
'y+1/4,x+1/4,z+3/4'
'-x+1/2,y,-z+1/2'
'x+1/2,-y,z+1/2'
'y+1/4,x+3/4,-z+1/4'
'-y+1/4,-x+3/4,z+1/4'
'x+1/2,y+1/2,z+1/2'
'-x+1/2,-y+1/2,-z+1/2'
'-y+3/4,x+1/4,z+3/4'
'y+3/4,-x+1/4,-z+3/4'
'-x,-y+1/2,z'
'x,y+1/2,-z'
'y+3/4,-x+3/4,z+1/4'
'-y+3/4,x+3/4,-z+1/4'
'x+1/2,-y+1/2,-z+1/2'
'-x+1/2,y+1/2,z+1/2'
'-y+3/4,-x+3/4,-z+1/4'
'y+3/4,x+3/4,z+1/4'
'-x,y+1/2,-z'
'x,-y+1/2,z'
'y+3/4,x+1/4,-z+3/4'
'-y+3/4,-x+1/4,z+3/4'
loop_
_atom_site_label
_atom_site_type_symbol
_atom_site_fract_x
_atom_site_fract_y
_atom_site_fract_z
_atom_site_occupancy
Cs1 Cs 0.000 0.250 0.375 1
Pt1 Pt 0.000 0.000 0.000 1
Se1 Se 0.000 0.250 0.875 1
# Electronic total energy: -4.51 eV/atom
# Formation energy without anion corrections: -0.40 eV/atom
# Volume: 489.3 Å³ per cell

# CsPt3Se | Alexandria | PBE | optimized geometry
data_CsPt3Se
_chemical_formula_sum 'Cs1 Pt3 Se1'
_cell_length_a 4.941
_cell_length_b 4.941
_cell_length_c 4.941
_cell_angle_alpha 90.00
_cell_angle_beta 90.00
_cell_angle_gamma 90.00
_symmetry_space_group_name_H-M 'P m -3 m'
_symmetry_Int_Tables_number 221
_symmetry_space_group_name_Hall '-P 4 2 3'
loop_
_atom_site_label
_atom_site_type_symbol
_atom_site_fract_x
_atom_site_fract_y
_atom_site_fract_z
_atom_site_occupancy
Cs1 Cs 0.000 0.000 0.000 1
Pt1 Pt 0.000 0.500 0.500 1
Se1 Se 0.500 0.500 0.500 1
# Electronic total energy: -4.12 eV/atom
# Formation energy without anion corrections: 0.37 eV/atom
# Distance to the lowest polymorph of the same formula: 0.0 meV/atom
# Volume: 120.6 Å³ per cell

# CsPtSe2 | Alexandria | PBE | optimized geometry
data_CsPtSe2
_chemical_formula_sum 'Cs3 Pt3 Se6'
_cell_length_a 6.6148
_cell_length_b 6.6148
_cell_length_c 9.0446
_cell_angle_alpha 90.00
_cell_angle_beta 90.00
_cell_angle_gamma 120.00
_symmetry_space_group_name_H-M 'P 62 2 2'
_symmetry_Int_Tables_number 180
_symmetry_space_group_name_Hall 'P 62 2 (0 0 4)'
loop_
_atom_site_label
_atom_site_type_symbol
_atom_site_fract_x
_atom_site_fract_y
_atom_site_fract_z
_atom_site_occupancy
Cs1 Cs 0.0000 0.5000 0.1667 1
Pt1 Pt 0.0000 0.5000 0.6667 1
Se1 Se 0.1483 0.2966 0.5000 1
# Electronic total energy: -3.92 eV/atom
# Formation energy without anion corrections: -0.46 eV/atom
# Distance to the lowest polymorph of the same formula: 210.7 meV/atom
# Volume: 342.7 Å³ per cell

# CsPtSe2 | Alexandria | PBE | optimized geometry
data_CsPtSe2
_chemical_formula_sum 'Cs4 Pt4 Se8'
_cell_length_a 7.341
_cell_length_b 7.341
_cell_length_c 7.341
_cell_angle_alpha 90.00
_cell_angle_beta 90.00
_cell_angle_gamma 90.00
_symmetry_space_group_name_H-M 'F m -3 m'
_symmetry_Int_Tables_number 225
_symmetry_space_group_name_Hall '-F 4 2 3'
loop_
_atom_site_label
_atom_site_type_symbol
_atom_site_fract_x
_atom_site_fract_y
_atom_site_fract_z
_atom_site_occupancy
Cs1 Cs 0.000 0.000 0.000 1
Pt1 Pt 0.000 0.000 0.500 1
Se1 Se 0.250 0.250 0.250 1
# Electronic total energy: -3.03 eV/atom
# Formation energy without anion corrections: 0.44 eV/atom
# Distance to the lowest polymorph of the same formula: 1106.5 meV/atom
# Volume: 395.6 Å³ per cell

# CsPt3Se | Alexandria | PBE | optimized geometry
data_CsPt3Se
_chemical_formula_sum 'Cs1 Pt3 Se1'
_cell_length_a 5.209
_cell_length_b 5.209
_cell_length_c 5.209
_cell_angle_alpha 90.00
_cell_angle_beta 90.00
_cell_angle_gamma 90.00
_symmetry_space_group_name_H-M 'P m -3 m'
_symmetry_Int_Tables_number 221
_symmetry_space_group_name_Hall '-P 4 2 3'
loop_
_atom_site_label
_atom_site_type_symbol
_atom_site_fract_x
_atom_site_fract_y
_atom_site_fract_z
_atom_site_occupancy
Cs1 Cs 0.000 0.000 0.000 1
Pt1 Pt 0.000 0.000 0.500 1
Se1 Se 0.500 0.500 0.500 1
# Electronic total energy: -2.33 eV/atom
# Formation energy without anion corrections: 2.16 eV/atom
# Distance to the lowest polymorph of the same formula: 1795.5 meV/atom
# Volume: 141.3 Å³ per cell